1.
The following is a DFT calculation (SCAN) of CdAg3 at its PBEsol-relaxed geometry.

CIF file:
```
data_CdAg3
_cell_length_a 2.833
_cell_length_b 4.624
_cell_length_c 5.347
_cell_angle_alpha 90.00
_cell_angle_beta 98.88
_cell_angle_gamma 90.00
_space_group_name_H-M_alt 'P 1 2/m 1'
_space_group_IT_number 10
loop_
_space_group_symop_operation_xyz
'x,y,z'
'-x,-y,-z'
'-x,y,-z'
'x,-y,z'
loop_
_atom_site_label
_atom_site_type_symbol
_atom_site_fract_x
_atom_site_fract_y
_atom_site_fract_z
Cd1 Cd 0.000 0.000 0.000
Ag1 Ag 0.258 0.500 0.746
Ag2 Ag 0.500 0.000 0.500
```

## Properties
Its total energy is -31.1365 eV per atom.



2.
The following is a DFT calculation (SCAN) of Cd3Ag4 at its PBEsol-relaxed geometry.

CIF file:
```
data_Cd3Ag4
_cell_length_a 3.421
_cell_length_b 3.421
_cell_length_c 21.446
_cell_angle_alpha 90.00
_cell_angle_beta 90.00
_cell_angle_gamma 90.00
_space_group_name_H-M_alt 'I 4/m m m'
_space_group_IT_number 139
_space_group_name_Hall '-I 4 2'
loop_
_atom_site_label
_atom_site_type_symbol
_atom_site_fract_x
_atom_site_fract_y
_atom_site_fract_z
Cd1 Cd 0.000 0.000 0.000
Cd2 Cd 0.000 0.000 0.290
Ag1 Ag 0.000 0.000 0.140
Ag2 Ag 0.000 0.000 0.429
```

## Properties
Its total energy is -30.9885 eV per atom.



3.
The following is a DFT calculation (SCAN) of Cd2Ag at its PBEsol-relaxed geometry.

CIF file:
```
data_Cd2Ag
_cell_length_a 2.955
_cell_length_b 2.955
_cell_length_c 26.803
_cell_angle_alpha 90.00
_cell_angle_beta 90.00
_cell_angle_gamma 90.00
_space_group_name_H-M_alt 'I 41/a m d'
_space_group_IT_number 141
loop_
_space_group_symop_operation_xyz
'x,y,z'
'-x,-y,-z'
'-y+1/4,x+3/4,z+1/4'
'y+1/4,-x+3/4,-z+1/4'
'-x+1/2,-y,z+1/2'
'x+1/2,y,-z+1/2'
'y+1/4,-x+1/4,z+3/4'
'-y+1/4,x+1/4,-z+3/4'
'x,-y,-z'
'-x,y,z'
'-y+1/4,-x+1/4,-z+3/4'
'y+1/4,x+1/4,z+3/4'
'-x+1/2,y,-z+1/2'
'x+1/2,-y,z+1/2'
'y+1/4,x+3/4,-z+1/4'
'-y+1/4,-x+3/4,z+1/4'
'x+1/2,y+1/2,z+1/2'
'-x+1/2,-y+1/2,-z+1/2'
'-y+3/4,x+1/4,z+3/4'
'y+3/4,-x+1/4,-z+3/4'
'-x,-y+1/2,z'
'x,y+1/2,-z'
'y+3/4,-x+3/4,z+1/4'
'-y+3/4,x+3/4,-z+1/4'
'x+1/2,-y+1/2,-z+1/2'
'-x+1/2,y+1/2,z+1/2'
'-y+3/4,-x+3/4,-z+1/4'
'y+3/4,x+3/4,z+1/4'
'-x,y+1/2,-z'
'x,-y+1/2,z'
'y+3/4,x+1/4,-z+3/4'
'-y+3/4,-x+1/4,z+3/4'
loop_
_atom_site_label
_atom_site_type_symbol
_atom_site_fract_x
_atom_site_fract_y
_atom_site_fract_z
Cd1 Cd 0.000 0.250 0.298
Ag1 Ag 0.000 0.250 0.875
```

## Properties
For the excess energy over the best structure of this formula in the dataset, the calculation gives 45 meV per atom.



4.
The following is a DFT calculation (SCAN) of Cd7Ag at its PBEsol-relaxed geometry.

CIF file:
```
data_Cd7Ag
_cell_length_a 8.605
_cell_length_b 8.605
_cell_length_c 8.605
_cell_angle_alpha 90.00
_cell_angle_beta 90.00
_cell_angle_gamma 90.00
_space_group_name_H-M_alt 'F m -3 m'
_space_group_IT_number 225
_space_group_name_Hall '-F 4 2 3'
loop_
_atom_site_label
_atom_site_type_symbol
_atom_site_fract_x
_atom_site_fract_y
_atom_site_fract_z
Cd1 Cd 0.000 0.000 0.000
Cd2 Cd 0.000 0.250 0.250
Ag1 Ag 0.000 0.000 0.500
```

## Properties
Its total energy is -30.5178 eV per atom.